P | AcBiMo PBE optimized geometry; V = 38.2 Å³/atom
1.0
0.000 3.856 3.856
3.856 0.000 3.856
3.856 3.856 0.000
Ac Bi Mo
1 1 1
Cartesian
0.000 0.000 0.000
5.785 5.785 5.785
1.928 1.928 1.928

Q | AcBiMo PBE optimized geometry; V = 28.8 Å³/atom
1.0
0.000 3.511 3.511
3.511 0.000 3.511
3.511 3.511 0.000
Ac Bi Mo
1 1 1
Cartesian
0.000 0.000 0.000
3.511 3.511 3.511
1.755 1.755 1.755

Stability summary: most stable Q, least stable P.

P | AcReBi PBE optimized geometry; V = 28.7 Å³/atom
1.0
0.000 3.505 3.505
3.505 0.000 3.505
3.505 3.505 0.000
Ac Re Bi
1 1 1
Cartesian
0.000 0.000 0.000
1.752 1.752 1.752
3.505 3.505 3.505

Q | AcReBi PBE optimized geometry; V = 35.1 Å³/atom
1.0
0.000 3.749 3.749
3.749 0.000 3.749
3.749 3.749 0.000
Ac Re Bi
1 1 1
Cartesian
0.000 0.000 0.000
1.875 1.875 1.875
5.624 5.624 5.624

Stability summary: most stable P, least stable Q.

P | AcTaBi PBE optimized geometry; V = 37.8 Å³/atom
1.0
0.000 3.843 3.843
3.843 0.000 3.843
3.843 3.843 0.000
Ac Ta Bi
1 1 1
Cartesian
0.000 0.000 0.000
1.921 1.921 1.921
5.764 5.764 5.764

Q | AcTaBi PBE optimized geometry; V = 33.2 Å³/atom
1.0
0.000 3.680 3.680
3.680 0.000 3.680
3.680 3.680 0.000
Ac Ta Bi
1 1 1
Cartesian
0.000 0.000 0.000
5.520 5.520 5.520
3.680 3.680 3.680

Stability summary: most stable Q, least stable P.

P | AcTmBi PBE optimized geometry; V = 41.9 Å³/atom
1.0
0.000 3.976 3.976
3.976 0.000 3.976
3.976 3.976 0.000
Ac Tm Bi
1 1 1
Cartesian
0.000 0.000 0.000
1.988 1.988 1.988
5.964 5.964 5.964

Q | AcTmBi PBE optimized geometry; V = 37.4 Å³/atom
1.0
0.000 3.828 3.828
3.828 0.000 3.828
3.828 3.828 0.000
Ac Tm Bi
1 1 1
Cartesian
0.000 0.000 0.000
3.828 3.828 3.828
1.914 1.914 1.914

Stability summary: most stable Q, least stable P.

P | AcCdGe PBE optimized geometry; V = 30.7 Å³/atom
1.0
0.000 3.584 3.584
3.584 0.000 3.584
3.584 3.584 0.000
Ac Cd Ge
1 1 1
Cartesian
0.000 0.000 0.000
3.584 3.584 3.584
1.792 1.792 1.792

Q | AcCdGe PBE optimized geometry; V = 34.4 Å³/atom
1.0
0.000 3.724 3.724
3.724 0.000 3.724
3.724 3.724 0.000
Ac Cd Ge
1 1 1
Cartesian
0.000 0.000 0.000
5.587 5.587 5.587
1.862 1.862 1.862

Stability summary: most stable P, least stable Q.

P | AcCdHg PBE optimized geometry; V = 36.6 Å³/atom
1.0
0.000 3.800 3.800
3.800 0.000 3.800
3.800 3.800 0.000
Ac Cd Hg
1 1 1
Cartesian
0.000 0.000 0.000
5.701 5.701 5.701
1.900 1.900 1.900

Q | AcCdHg PBE optimized geometry; V = 33.2 Å³/atom
1.0
0.000 3.678 3.678
3.678 0.000 3.678
3.678 3.678 0.000
Ac Cd Hg
1 1 1
Cartesian
0.000 0.000 0.000
3.678 3.678 3.678
1.839 1.839 1.839

Stability summary: most stable Q, least stable P.